Computed, not measured: a geometry-optimized CsNb2SI structure at the PBEsol level of DFT.

```
data_CsNb2SI
_cell_length_a 5.0998
_cell_length_b 5.0998
_cell_length_c 6.1443
_cell_angle_alpha 90.00
_cell_angle_beta 90.00
_cell_angle_gamma 90.00
_space_group_name_H-M_alt 'P 4/m m m'
_space_group_IT_number 123
_space_group_name_Hall '-P 4 2'
loop_
_atom_site_label
_atom_site_fract_x
_atom_site_fract_y
_atom_site_fract_z
_atom_site_occupancy
Cs1 0.0000 0.0000 0.0000 1
Nb1 0.0000 0.5000 0.0000 1
S1 0.5000 0.5000 0.5000 1
I1 0.0000 0.0000 0.5000 1
```

***

Computed, not measured: a geometry-optimized Sc4AgW structure at the PBEsol level of DFT.

```
data_Sc4AgW
_cell_length_a 7.7412
_cell_length_b 7.7412
_cell_length_c 7.7412
_cell_angle_alpha 90.00
_cell_angle_beta 90.00
_cell_angle_gamma 90.00
_space_group_name_H-M_alt 'F -4 3 m'
_space_group_IT_number 216
_space_group_name_Hall 'F -4 2 3'
loop_
_atom_site_label
_atom_site_fract_x
_atom_site_fract_y
_atom_site_fract_z
_atom_site_occupancy
Sc1 0.1241 0.1241 0.1241 1
Ag1 0.0000 0.0000 0.5000 1
W1 0.2500 0.2500 0.7500 1
```

ΔH_f (0 K), eV per atom: 0.6310

***

Computed, not measured: a geometry-optimized MnPtS2Cl structure at the PBEsol level of DFT.

```
data_MnPtS2Cl
_cell_length_a 4.5025
_cell_length_b 4.5025
_cell_length_c 4.2799
_cell_angle_alpha 90.00
_cell_angle_beta 90.00
_cell_angle_gamma 90.00
_space_group_name_H-M_alt 'P 4/m m m'
_space_group_IT_number 123
_space_group_name_Hall '-P 4 2'
loop_
_atom_site_label
_atom_site_fract_x
_atom_site_fract_y
_atom_site_fract_z
_atom_site_occupancy
Mn1 0.0000 0.0000 0.0000 1
Pt1 0.5000 0.5000 0.5000 1
S1 0.0000 0.5000 0.0000 1
Cl1 0.0000 0.0000 0.5000 1
```

***

Computed, not measured: a geometry-optimized Be2CuW structure at the PBEsol level of DFT.

```
data_Be2CuW
_cell_length_a 3.4464
_cell_length_b 3.4464
_cell_length_c 7.4679
_cell_angle_alpha 90.00
_cell_angle_beta 90.00
_cell_angle_gamma 90.00
_space_group_name_H-M_alt 'I -4 m 2'
_space_group_IT_number 119
_space_group_name_Hall 'I -4 -2'
loop_
_atom_site_label
_atom_site_fract_x
_atom_site_fract_y
_atom_site_fract_z
_atom_site_occupancy
Be1 0.0000 0.0000 0.0000 1
Be2 0.0000 0.5000 0.2500 1
Cu1 0.0000 0.0000 0.5000 1
W1 0.0000 0.5000 0.7500 1
```

Energy above the most stable polymorph in this dataset, meV per atom: 346.5
ΔH_f (0 K), eV per atom: 0.3426

***

no.,calculated total energy (eV per atom)
1,-3.06
2,-6.63
3,-4.99
4,-6.19